1.
First-principles (PBE-GGA) data for crystalline PuPPd3 at its relaxed geometry, as listed in Alexandria.

Summary:
The space-group type is Pnma (62). For the size of the total moment, the calculation gives 1.053 μB/atom. The value obtained for the polymorph energy (0 for the lowest one) is 0 meV/atom.

Geometry as POSCAR:
```
PuPPd3
1.0
5.4566 0.0000 0.0000
0.0000 8.5086 0.0000
0.0000 0.0000 7.4599
Pu P Pd
4 4 12
Cartesian
1.0623 2.1271 1.0608
1.6661 6.3814 4.7907
3.7906 2.1271 2.6692
4.3944 6.3814 6.3991
0.0000 0.0000 3.7299
0.0000 4.2543 3.7299
2.7283 0.0000 0.0000
2.7283 4.2543 0.0000
0.6425 0.3392 6.1874
0.6425 3.9151 6.1874
1.2388 2.1271 4.0936
1.4895 6.3814 0.3636
2.0858 4.5935 2.4575
2.0858 8.1694 2.4575
3.3708 0.3392 5.0024
3.3708 3.9151 5.0024
3.9671 2.1271 7.0963
4.2178 6.3814 3.3663
4.8141 4.5935 1.2724
4.8141 8.1694 1.2724
```

2.
First-principles (PBE-GGA) data for crystalline PuP2Pd3 at its relaxed geometry, as listed in Alexandria.

Summary:
The space-group type is Immm (71). The value obtained for the total DFT energy (no corrections) is -7.358 eV per atom. For the size of the total moment, the calculation gives 0.847 μB/atom.

Geometry as POSCAR:
```
PuP2Pd3
1.0
-1.8730 4.1699 6.5056
1.8730 -4.1699 6.5056
1.8730 4.1699 -6.5056
Pu P Pd
2 4 6
Cartesian
0.0000 0.0000 1.7980
0.0000 0.0000 11.2132
1.8730 1.1799 0.0000
1.8730 0.0000 4.4398
0.0000 4.1699 2.0658
0.0000 2.9901 6.5056
1.8730 2.5799 -2.2711
0.0000 2.7934 0.0000
1.8730 2.5799 2.2711
0.0000 1.5901 4.2345
0.0000 5.5465 0.0000
0.0000 1.5901 8.7768
```

3.
First-principles (PBE-GGA) data for crystalline Pu2P3Pd3 at its relaxed geometry, as listed in Alexandria.

Summary:
The space-group type is P6_3/mcm (193). The value obtained for the total DFT energy (no corrections) is -8.302 eV per atom. For the size of the total moment, the calculation gives 1.287 μB/atom.

Geometry as POSCAR:
```
Pu2P3Pd3
1.0
6.8734 0.0000 0.0000
-3.4367 5.9526 0.0000
0.0000 0.0000 7.8435
Pu P Pd
4 6 6
Cartesian
0.0000 3.9684 0.0000
0.0000 3.9684 3.9218
3.4367 1.9842 0.0000
3.4367 1.9842 3.9218
-1.3457 2.3308 1.9609
-2.0911 3.6218 5.8826
2.6913 0.0000 1.9609
1.3457 2.3308 5.8826
4.1821 0.0000 5.8826
2.0911 3.6218 1.9609
-0.8807 1.5254 5.8826
-2.5560 4.4271 1.9609
1.7614 0.0000 5.8826
0.8807 1.5254 1.9609
5.1120 0.0000 1.9609
2.5560 4.4271 5.8826
```

4.
First-principles (PBE-GGA) data for crystalline Pu2PPd at its relaxed geometry, as listed in Alexandria.

Summary:
The space-group type is P2_1/c (14). For the size of the total moment, the calculation gives 0.000 μB/atom. The value obtained for the polymorph energy (0 for the lowest one) is 460 meV/atom.

Geometry as POSCAR:
```
Pu2PPd
1.0
5.9875 0.0000 0.0000
0.0000 5.2004 0.0000
-5.9767 0.0000 9.9710
Pu P Pd
8 4 4
Cartesian
-2.3847 0.7349 4.3042
-5.3731 1.8653 9.2897
-3.5865 3.3350 9.2894
-0.5981 4.4656 4.3039
0.6089 0.7348 5.6671
3.5972 1.8654 0.6816
5.3838 3.3350 0.6813
2.3954 4.4655 5.6668
1.4965 5.2002 0.9651
-1.4918 2.6004 5.9506
-1.4858 0.0002 9.0059
1.5026 2.6000 4.0204
0.3083 1.3024 2.4931
-2.6801 1.2978 7.4786
2.6908 3.9026 2.4924
-0.2976 3.8980 7.4779
```

5.
First-principles (PBE-GGA) data for crystalline Pu2P6Pd21 at its relaxed geometry, as listed in Alexandria.

Summary:
The space-group type is Fm-3m (225). The value obtained for the total DFT energy (no corrections) is -6.402 eV per atom. For the size of the total moment, the calculation gives 0.352 μB/atom.

Geometry as POSCAR:
```
Pu2P6Pd21
1.0
0.0000 6.1193 6.1193
6.1193 0.0000 6.1193
6.1193 6.1193 0.0000
Pu P Pd
2 6 21
Cartesian
3.0596 3.0596 3.0596
9.1789 9.1789 9.1789
6.1193 6.1193 2.9279
6.1193 2.9279 6.1193
9.3107 6.1193 6.1193
2.9279 6.1193 6.1193
6.1193 9.3107 6.1193
6.1193 6.1193 9.3107
1.3969 1.3969 1.3969
4.7224 4.7224 1.3969
4.7224 1.3969 4.7224
6.1193 4.0124 4.0124
8.2262 6.1193 4.0124
8.2262 4.0124 6.1193
10.8417 7.5162 7.5162
4.0124 6.1193 4.0124
6.1193 8.2262 4.0124
4.0124 4.0124 6.1193
6.1193 6.1193 6.1193
8.2262 8.2262 6.1193
6.1193 4.0124 8.2262
8.2262 6.1193 8.2262
1.3969 4.7224 4.7224
4.0124 8.2262 6.1193
4.0124 6.1193 8.2262
6.1193 8.2262 8.2262
7.5162 10.8417 7.5162
7.5162 7.5162 10.8417
10.8417 10.8417 10.8417
```

6.
First-principles (PBE-GGA) data for crystalline PuP2Pd at its relaxed geometry, as listed in Alexandria.

Summary:
The space-group type is I-4m2 (119). The value obtained for the total DFT energy (no corrections) is -8.378 eV per atom. For the size of the total moment, the calculation gives 1.241 μB/atom.

Geometry as POSCAR:
```
PuP2Pd
1.0
3.8975 0.0000 0.0000
0.0000 3.8975 0.0000
0.0000 0.0000 9.9914
Pu P Pd
2 4 2
Cartesian
0.0000 0.0000 0.0000
1.9487 1.9487 4.9957
0.0000 0.0000 3.8929
0.0000 0.0000 6.0986
1.9487 1.9487 1.1029
1.9487 1.9487 8.8886
0.0000 1.9487 7.4936
1.9487 0.0000 2.4979
```

7.
First-principles (PBE-GGA) data for crystalline PuP2Pd5 at its relaxed geometry, as listed in Alexandria.

Summary:
The space-group type is Immm (71). The value obtained for the total DFT energy (no corrections) is -6.997 eV per atom. For the size of the total moment, the calculation gives 0.672 μB/atom.

Geometry as POSCAR:
```
PuP2Pd5
1.0
4.0653 0.0000 0.0000
0.0000 7.0851 0.0000
0.0000 0.0000 9.2487
Pu P Pd
2 4 10
Cartesian
0.0000 0.0000 0.0000
2.0326 3.5426 4.6243
0.0000 3.5426 2.3562
0.0000 3.5426 6.8925
2.0326 0.0000 2.2682
2.0326 0.0000 6.9805
0.0000 1.3907 3.1994
0.0000 1.3907 6.0493
0.0000 3.5426 0.0000
0.0000 5.6944 3.1994
0.0000 5.6944 6.0493
2.0326 0.0000 4.6243
2.0326 2.1518 1.4249
2.0326 2.1518 7.8238
2.0326 4.9333 1.4249
2.0326 4.9333 7.8238
```

8.
First-principles (PBE-GGA) data for crystalline PuP4Pd12 at its relaxed geometry, as listed in Alexandria.

Summary:
The space-group type is Im-3 (204). The value obtained for the total DFT energy (no corrections) is -6.168 eV per atom. For the size of the total moment, the calculation gives 0.319 μB/atom.

Geometry as POSCAR:
```
PuP4Pd12
1.0
-4.1787 4.1787 4.1787
4.1787 -4.1787 4.1787
4.1787 4.1787 -4.1787
Pu P Pd
1 4 12
Cartesian
0.0000 0.0000 0.0000
2.0893 2.0893 -2.0893
2.0893 -2.0893 2.0893
-2.0893 2.0893 2.0893
2.0893 2.0893 2.0893
4.1787 2.7453 -1.3661
2.8126 0.0000 1.4334
5.5448 0.0000 1.4334
1.4334 2.8126 0.0000
2.7453 -1.3661 4.1787
4.1787 2.7453 1.3661
0.0000 1.4334 2.8126
1.4334 5.5448 0.0000
2.7453 1.3661 4.1787
-1.3661 4.1787 2.7453
1.3661 4.1787 2.7453
0.0000 1.4334 5.5448
```

9.
First-principles (PBE-GGA) data for crystalline PuP2Pd at its relaxed geometry, as listed in Alexandria.

Summary:
The space-group type is R-3m (166). The value obtained for the total DFT energy (no corrections) is -7.484 eV per atom. For the size of the total moment, the calculation gives 1.471 μB/atom.

Geometry as POSCAR:
```
PuP2Pd
1.0
3.2169 0.0000 0.0000
-1.6085 2.7859 0.0000
0.0000 0.0000 26.6196
Pu P Pd
3 6 3
Cartesian
0.0000 0.0000 0.0000
0.0000 1.8573 17.7464
1.6085 0.9286 8.8732
0.0000 0.0000 2.8030
0.0000 0.0000 23.8166
0.0000 1.8573 14.9434
0.0000 1.8573 20.5495
1.6085 0.9286 6.0702
1.6085 0.9286 11.6762
0.0000 0.0000 13.3098
0.0000 1.8573 4.4366
1.6085 0.9286 22.1830
```

10.
First-principles (PBE-GGA) data for crystalline Pu2PPd at its relaxed geometry, as listed in Alexandria.

Summary:
The space-group type is P4/mmm (123). For the size of the total moment, the calculation gives 2.741 μB/atom. The value obtained for the polymorph energy (0 for the lowest one) is 0 meV/atom.

Geometry as POSCAR:
```
Pu2PPd
1.0
3.6941 0.0000 0.0000
0.0000 3.6941 0.0000
0.0000 0.0000 5.9723
Pu P Pd
2 1 1
Cartesian
0.0000 0.0000 1.3991
0.0000 0.0000 4.5732
1.8471 1.8471 0.0000
1.8471 1.8471 2.9862
```

11.
First-principles (PBE-GGA) data for crystalline PuPPd4 at its relaxed geometry, as listed in Alexandria.

Summary:
The space-group type is Pmma (51). The value obtained for the total DFT energy (no corrections) is -7.264 eV per atom. For the size of the total moment, the calculation gives 0.853 μB/atom.

Geometry as POSCAR:
```
PuPPd4
1.0
7.4718 0.0000 0.0000
0.0000 4.0105 0.0000
0.0000 0.0000 6.8609
Pu P Pd
2 2 8
Cartesian
1.8679 0.0000 0.8325
5.6038 0.0000 6.0284
1.8679 0.0000 4.9252
5.6038 0.0000 1.9356
0.0000 0.0000 3.4304
0.4448 2.0053 5.5250
1.8679 2.0053 2.9769
3.2911 2.0053 5.5250
3.7359 0.0000 3.4304
4.1807 2.0053 1.3359
5.6038 2.0053 3.8839
7.0270 2.0053 1.3359
```

12.
First-principles (PBE-GGA) data for crystalline PuP4Pd6 at its relaxed geometry, as listed in Alexandria.

Summary:
The space-group type is I-42m (121). For the size of the total moment, the calculation gives 0.501 μB/atom. The value obtained for the polymorph energy (0 for the lowest one) is 19 meV/atom.

Geometry as POSCAR:
```
PuP4Pd6
1.0
-3.2854 3.2854 4.3118
3.2854 -3.2854 4.3118
3.2854 3.2854 -4.3118
Pu P Pd
1 4 6
Cartesian
0.0000 0.0000 0.0000
1.8392 1.8392 -1.1205
1.4461 -1.4461 5.4323
1.4461 1.4461 3.1912
-1.4461 1.4461 5.4323
3.2854 0.0000 0.0000
0.9787 -0.9787 3.0966
2.3067 2.3067 1.2152
0.0000 3.2854 0.0000
-0.9787 0.9787 3.0966
0.9787 0.9787 5.5269
```

Please write out number 5 again, unchanged.
First-principles (PBE-GGA) data for crystalline Pu2P6Pd21 at its relaxed geometry, as listed in Alexandria.

Summary:
The space-group type is Fm-3m (225). The value obtained for the total DFT energy (no corrections) is -6.402 eV per atom. For the size of the total moment, the calculation gives 0.352 μB/atom.

Geometry as POSCAR:
```
Pu2P6Pd21
1.0
0.0000 6.1193 6.1193
6.1193 0.0000 6.1193
6.1193 6.1193 0.0000
Pu P Pd
2 6 21
Cartesian
3.0596 3.0596 3.0596
9.1789 9.1789 9.1789
6.1193 6.1193 2.9279
6.1193 2.9279 6.1193
9.3107 6.1193 6.1193
2.9279 6.1193 6.1193
6.1193 9.3107 6.1193
6.1193 6.1193 9.3107
1.3969 1.3969 1.3969
4.7224 4.7224 1.3969
4.7224 1.3969 4.7224
6.1193 4.0124 4.0124
8.2262 6.1193 4.0124
8.2262 4.0124 6.1193
10.8417 7.5162 7.5162
4.0124 6.1193 4.0124
6.1193 8.2262 4.0124
4.0124 4.0124 6.1193
6.1193 6.1193 6.1193
8.2262 8.2262 6.1193
6.1193 4.0124 8.2262
8.2262 6.1193 8.2262
1.3969 4.7224 4.7224
4.0124 8.2262 6.1193
4.0124 6.1193 8.2262
6.1193 8.2262 8.2262
7.5162 10.8417 7.5162
7.5162 7.5162 10.8417
10.8417 10.8417 10.8417
```

Please write out number 11 again, unchanged.
First-principles (PBE-GGA) data for crystalline PuPPd4 at its relaxed geometry, as listed in Alexandria.

Summary:
The space-group type is Pmma (51). The value obtained for the total DFT energy (no corrections) is -7.264 eV per atom. For the size of the total moment, the calculation gives 0.853 μB/atom.

Geometry as POSCAR:
```
PuPPd4
1.0
7.4718 0.0000 0.0000
0.0000 4.0105 0.0000
0.0000 0.0000 6.8609
Pu P Pd
2 2 8
Cartesian
1.8679 0.0000 0.8325
5.6038 0.0000 6.0284
1.8679 0.0000 4.9252
5.6038 0.0000 1.9356
0.0000 0.0000 3.4304
0.4448 2.0053 5.5250
1.8679 2.0053 2.9769
3.2911 2.0053 5.5250
3.7359 0.0000 3.4304
4.1807 2.0053 1.3359
5.6038 2.0053 3.8839
7.0270 2.0053 1.3359
```

Which value of size of the total moment does entry 10 give?
2.741 μB/atom